1.
Compound: Ho3TmLu2Bi2Os
Source: the Open Quantum Materials Database
Functional: PBE-GGA
Structure: optimized geometry

The total energy is -5.753 eV per atom. As for the total magnetization: 0.05 μB/f.u.

It has space group Amm2 (No. 38), with a = 4.231 Å, b = 14.174 Å, c = 8.185 Å, α = 90.00°, β = 90.00° and γ = 90.00°. Symmetry generates all atoms from Ho at (0.000, 0.000, 0.000), Ho at (0.000, 0.192, 0.423), Tm at (0.500, 0.000, 0.384), Lu at (0.500, 0.115, 0.731), Bi at (0.500, 0.167, 0.115) and Os at (0.000, 0.000, 0.616).

***

2.
Compound: Ho2TmLu3Bi2Os
Source: the Open Quantum Materials Database
Functional: PBE-GGA
Structure: optimized geometry

The total energy is -5.747 eV per atom. As for the total magnetization: 0.03 μB/f.u.

It has space group Amm2 (No. 38), with a = 4.221 Å, b = 14.151 Å, c = 8.156 Å, α = 90.00°, β = 90.00° and γ = 90.00°. Symmetry generates all atoms from Ho at (0.000, 0.192, 0.000), Tm at (0.000, 0.000, 0.425), Lu at (0.500, 0.000, 0.037), Lu at (0.500, 0.116, 0.691), Bi at (0.500, 0.166, 0.308) and Os at (0.000, 0.000, 0.805).